Entry 1:
ZrMnCrPt2 | PBE-GGA | optimized geometry

Cell lengths 4.9024, 4.6610, 4.9024 Å; angles 90.00, 90.00, 90.00 degrees
Closest atoms and distances in Å follow each position.
Sites, in units of the cell vectors:
Cr: 0.5000 0.5000 0.5000  8 Pt 3.38, 4 Mn 3.47
Pt: 0.0000 0.0000 0.5000  2 Zr 2.45
Pt: 0.5000 0.0000 0.0000  2 Zr 2.45
Zr: 0.0000 0.0000 0.0000  2 Mn 2.33, 4 Pt 2.45
Mn: 0.0000 0.5000 0.0000  2 Zr 2.33

Summary:
**Calculated formation energy**: 1.496 eV/atom
**Space-group type**: P4/mmm


Entry 2:
LaPm2PrBi5 | PBE-GGA | optimized geometry

Cell lengths 5.5855, 5.5855, 12.2427 Å; angles 90.00, 90.00, 90.00 degrees
Closest atoms and distances in Å follow each position.
Sites, in units of the cell vectors:
Pr: 0.0000 0.0000 0.5000  6 Bi 2.79-3.09
Bi: 0.5000 0.5000 0.0000  2 Pm 3.31
Bi: 0.0000 0.5000 0.5000  2 Pr 2.79
La: 0.0000 0.0000 0.0000  2 Bi 3.03
Bi: 0.0000 0.0000 0.7526  1 La 3.03, 1 Pr 3.09
Pm: 0.5000 0.5000 0.2700  1 Bi 3.31
Bi: 0.5000 0.0000 0.5000  2 Pr 2.79
Pm: 0.5000 0.5000 0.7300  1 Bi 3.31
Bi: 0.0000 0.0000 0.2474  1 La 3.03, 1 Pr 3.09

Summary:
**Calculated formation energy**: -0.031 eV/atom
**Space-group type**: P4/mmm


Entry 3:
Pm2Pu3PaSe6 | PBE-GGA | optimized geometry

Cell lengths 4.1239, 8.3092, 9.2411 Å; angles 101.98, 102.89, 90.00 degrees
Closest atoms and distances in Å follow each position.
Sites, in units of the cell vectors:
Se: 0.9988 0.2492 0.9975  3 Pu 2.91-2.93, 2 Pa 2.93, 1 Pm 2.94
Se: 0.3334 0.4099 0.6668  3 Pu 2.91-2.93, 3 Pm 2.94-2.95
Se: 0.0012 0.7508 0.0025  3 Pu 2.91-2.93, 2 Pa 2.93, 1 Pm 2.94
Pu: 0.1666 0.8380 0.3331  6 Se 2.90-2.94
Se: 0.6666 0.5901 0.3332  3 Pu 2.91-2.93, 3 Pm 2.94-2.95
Se: 0.3335 0.9172 0.6669  3 Pu 2.90-2.94, 1 Pa 2.93, 2 Pm 2.96
Pu: 0.8334 0.1620 0.6669  6 Se 2.90-2.94
Pa: 0.5000 0.0000 0.0000  6 Se 2.93
Pm: 0.1656 0.3377 0.3312  6 Se 2.94-2.96
Pu: 0.5000 0.5000 0.0000  6 Se 2.93
Pm: 0.8344 0.6623 0.6688  6 Se 2.94-2.96
Se: 0.6665 0.0828 0.3331  3 Pu 2.90-2.94, 1 Pa 2.93, 2 Pm 2.96

Summary:
**Formation energy from raw total energies**: -1580 meV per atom
**Space-group type**: C2/m


Entry 4:
Be2ReNiP | PBE-GGA | optimized geometry

Cell lengths 3.9521, 4.3880, 3.9521 Å; angles 90.00, 90.00, 90.00 degrees
Closest atoms and distances in Å follow each position.
Sites, in units of the cell vectors:
P: 0.0000 0.0000 0.0000  4 Be 1.98, 2 Re 2.19
Be: 0.0000 0.0000 0.5000  2 P 1.98
Be: 0.5000 0.0000 0.0000  2 P 1.98
Ni: 0.5000 0.5000 0.5000  4 Re 2.79, 8 Be 2.95
Re: 0.0000 0.5000 0.0000  2 P 2.19

Summary:
**Calculated formation energy**: 0.834 eV/atom
**Space-group type**: P4/mmm


Entry 5:
Er5Fe2Cu | PBE-GGA | optimized geometry

Cell lengths 7.1808, 7.1808, 8.6629 Å; angles 114.49, 114.49, 90.00 degrees
Closest atoms and distances in Å follow each position.
Sites, in units of the cell vectors:
Er: 0.0000 0.0000 0.0000  4 Fe 2.92
Er: 0.8157 0.9656 0.2813  3 Fe 2.88-2.95, 2 Cu 3.06
Er: 0.9656 0.4656 0.2813  3 Fe 2.88-2.95, 2 Cu 3.06
Fe: 0.1087 0.3913 0.0000  1 Fe 2.21
Er: 0.5344 0.6843 0.7187  3 Fe 2.88-2.95, 2 Cu 3.06
Cu: 0.7500 0.7500 0.5000  8 Er 3.06
Fe: 0.3913 0.8913 0.0000  1 Fe 2.21
Cu: 0.2500 0.2500 0.5000  8 Er 3.06
Er: 0.0344 0.5344 0.7187  3 Fe 2.88-2.95, 2 Cu 3.06
Er: 0.3157 0.8157 0.2813  3 Fe 2.88-2.95, 2 Cu 3.06
Fe: 0.8913 0.6087 0.0000  1 Fe 2.21
Er: 0.1843 0.0344 0.7187  3 Fe 2.88-2.95, 2 Cu 3.06
Er: 0.6843 0.1843 0.7187  3 Fe 2.88-2.95, 2 Cu 3.06
Fe: 0.6087 0.1087 0.0000  1 Fe 2.21
Er: 0.4656 0.3157 0.2813  3 Fe 2.88-2.95, 2 Cu 3.06
Er: 0.5000 0.5000 0.0000  4 Fe 2.92

Summary:
**Calculated formation energy**: -0.081 eV/atom
**Space-group type**: I4/mcm


Entry 6:
SiAsPC | PBE-GGA | optimized geometry

Cell lengths 3.9338, 3.2522, 5.6621 Å; angles 90.00, 110.31, 90.00 degrees
Closest atoms and distances in Å follow each position.
Sites, in units of the cell vectors:
C: 0.6803 0.5000 0.9033  1 P 1.79, 2 Si 1.84
P: 0.7965 0.5000 0.6248  1 C 1.79
As: 0.4043 0.0000 0.3648  2 P 2.37, 1 Si 2.40
Si: 0.7045 0.0000 0.0610  2 C 1.84

Summary:
**Formation energy from raw total energies**: 371 meV per atom
**Space-group type**: Pm


Entry 7:
Co2P | PBE-GGA | optimized geometry

Cell lengths 2.7544, 3.7111, 6.3851 Å; angles 90.00, 90.00, 90.00 degrees
Closest atoms and distances in Å follow each position.
Sites, in units of the cell vectors:
Co: 0.2400 0.5000 0.1674  3 P 2.24
P: 0.0000 0.0000 0.0000  6 Co 2.24
Co: 0.7600 0.5000 0.8326  3 P 2.24
Co: 0.7400 0.0000 0.3326  3 P 2.24
P: 0.5000 0.5000 0.5000  6 Co 2.24
Co: 0.2600 0.0000 0.6674  3 P 2.24

Summary:
**Calculated formation energy**: -0.271 eV/atom
**Space-group type**: Pnnm


Entry 8:
RbMg3Bi3 | PBE-GGA | optimized geometry

Cell lengths 8.2270, 8.2270, 8.2270 Å; angles 90.00, 90.00, 90.00 degrees
Closest atoms and distances in Å follow each position.
Sites, in units of the cell vectors:
Mg: 0.0000 0.5000 0.7500  4 Bi 2.91
Bi: 0.0000 0.2500 0.5000  4 Mg 2.91
Mg: 0.5000 0.7500 0.0000  4 Bi 2.91
Bi: 0.5000 0.0000 0.2500  4 Mg 2.91
Bi: 0.2500 0.5000 0.0000  4 Mg 2.91
Mg: 0.0000 0.5000 0.2500  4 Bi 2.91
Mg: 0.2500 0.0000 0.5000  4 Bi 2.91
Rb: 0.0000 0.0000 0.0000  12 Bi 4.60, 12 Mg 4.60
Mg: 0.5000 0.2500 0.0000  4 Bi 2.91
Mg: 0.7500 0.0000 0.5000  4 Bi 2.91
Rb: 0.5000 0.5000 0.5000  12 Bi 4.60, 12 Mg 4.60
Bi: 0.5000 0.0000 0.7500  4 Mg 2.91
Bi: 0.0000 0.7500 0.5000  4 Mg 2.91
Bi: 0.7500 0.5000 0.0000  4 Mg 2.91

Summary:
**Calculated formation energy**: -0.125 eV/atom
**Space-group type**: Pm-3n


Entry 9:
SmEr2Se | PBE-GGA | optimized geometry

Cell lengths 3.6792, 3.6792, 10.6191 Å; angles 80.02, 80.02, 60.00 degrees
Closest atoms and distances in Å follow each position.
Sites, in units of the cell vectors:
Er: 0.8911 0.8911 0.3268  3 Se 2.79
Er: 0.1089 0.1089 0.6732  3 Se 2.79
Se: 0.5000 0.5000 0.5000  6 Er 2.79
Sm: 0.0000 0.0000 0.0000  2 Er 3.40, 6 Sm 3.68

Summary:
**Formation energy from raw total energies**: -542 meV per atom
**Space-group type**: R-3m


Entry 10:
NaLiAu | PBE-GGA | optimized geometry

Cell lengths 5.5081, 5.5081, 5.5081 Å; angles 92.00, 119.11, 118.60 degrees
Closest atoms and distances in Å follow each position.
Sites, in units of the cell vectors:
Na: 0.7500 0.8830 0.6330  6 Au 3.14-3.29, 6 Li 3.25-3.26, 4 Na 3.32-3.47
Li: 0.5000 0.5000 0.0000  4 Au 2.75, 2 Li 2.79
Li: 0.0000 0.5000 0.5000  4 Au 2.75, 2 Li 2.79
Au: 0.5000 0.0000 0.0000  4 Li 2.75, 2 Au 2.81
Au: 0.0000 0.5000 0.0000  4 Li 2.75, 2 Au 2.81
Na: 0.2500 0.1170 0.3670  6 Au 3.14-3.29, 6 Li 3.25-3.26, 4 Na 3.32-3.47

Summary:
**Calculated formation energy**: -0.365 eV/atom
**Space-group type**: Imma


Entry 11:
Rb2Zn2Sb3 | PBE-GGA | optimized geometry

Cell lengths 4.3250, 5.7205, 9.8774 Å; angles 113.06, 102.65, 90.00 degrees
Closest atoms and distances in Å follow each position.
Sites, in units of the cell vectors:
Sb: 0.7445 0.2391 0.4889  3 Zn 2.74-2.92
Zn: 0.1554 0.2191 0.3107  4 Sb 2.74-2.92
Rb: 0.5936 0.6140 0.1871  1 Rb 3.31, 3 Sb 3.59-3.61, 2 Zn 3.66
Sb: 0.0000 0.0000 0.0000  2 Zn 2.74
Rb: 0.4064 0.3860 0.8129  1 Rb 3.31, 3 Sb 3.59-3.61, 2 Zn 3.66
Sb: 0.2555 0.7609 0.5111  3 Zn 2.74-2.92
Zn: 0.8446 0.7809 0.6893  4 Sb 2.74-2.92

Summary:
**Formation energy from raw total energies**: -152 meV per atom
**Space-group type**: C2/m


Entry 12:
Ho2Ga3Ag5 | PBE-GGA | optimized geometry

Cell lengths 4.5690, 6.9970, 12.5460 Å; angles 90.00, 100.49, 90.00 degrees
Closest atoms and distances in Å follow each position.
Sites, in units of the cell vectors:
Ag: 0.0502 0.5728 0.1004  4 Ga 2.64-2.78, 1 Ag 2.83
Ho: 0.4856 0.7734 0.9712  6 Ga 3.07-3.26, 6 Ag 3.12-3.37
Ga: 0.2271 0.1557 0.4542  5 Ag 2.54-2.73
Ga: 0.7729 0.6557 0.5458  5 Ag 2.54-2.73
Ag: 0.6962 0.3743 0.3924  4 Ga 2.67-2.85, 1 Ag 2.88
Ga: 0.3957 0.0759 0.7914  4 Ag 2.65-2.80
Ag: 0.8766 0.7619 0.7531  2 Ga 2.66-2.69, 1 Ag 2.83
Ag: 0.6097 0.9757 0.2194  3 Ga 2.68-2.80, 1 Ag 2.81
Ho: 0.5144 0.2734 0.0288  6 Ga 3.07-3.26, 6 Ag 3.12-3.37
Ag: 0.7234 0.9740 0.4469  3 Ga 2.54-2.62, 1 Ag 2.81
Ho: 0.8277 0.2310 0.6555  4 Ga 3.03-3.39, 7 Ag 3.11-3.40
Ho: 0.1723 0.7310 0.3445  4 Ga 3.03-3.39, 7 Ag 3.11-3.40
Ga: 0.6043 0.5759 0.2086  4 Ag 2.65-2.80
Ag: 0.9498 0.0728 0.8996  4 Ga 2.64-2.78, 1 Ag 2.83
Ga: 0.0526 0.9702 0.1052  5 Ag 2.64-2.78
Ga: 0.9474 0.4702 0.8948  5 Ag 2.64-2.78
Ag: 0.1234 0.2619 0.2469  2 Ga 2.66-2.69, 1 Ag 2.83
Ag: 0.3038 0.8743 0.6076  4 Ga 2.67-2.85, 1 Ag 2.88
Ag: 0.3903 0.4757 0.7806  3 Ga 2.68-2.80, 1 Ag 2.81
Ag: 0.2766 0.4740 0.5531  3 Ga 2.54-2.62, 1 Ag 2.81

Summary:
**Calculated formation energy**: -0.287 eV/atom
**Space-group type**: Cmc2_1


E_tot list, top to bottom, in eV per formula unit: -31.94, -38.89, -101.86, -26.92, -44.48, -23.22, -20.44, -18.27, -19.50, -7.60, -17.92, -35.36